DFT (PBE) results for a relaxed structure of K4Ag18Te11.

Unit cell a=13.415 b=13.415 c=13.415 alpha=60.00 beta=60.00 gamma=60.00
Fractional coordinates of all 66 atoms:
K 0.000 0.000 0.000
K 0.234 0.234 0.766
K 0.234 0.766 0.234
K 0.234 0.766 0.766
K 0.500 0.500 0.500
K 0.766 0.234 0.234
K 0.766 0.234 0.766
K 0.766 0.766 0.234
Ag 0.000 0.000 0.386
Ag 0.000 0.000 0.614
Ag 0.000 0.386 0.000
Ag 0.000 0.386 0.614
Ag 0.000 0.614 0.000
Ag 0.000 0.614 0.386
Ag 0.006 0.258 0.258
Ag 0.006 0.258 0.477
Ag 0.006 0.477 0.258
Ag 0.258 0.006 0.258
Ag 0.258 0.006 0.477
Ag 0.258 0.258 0.006
Ag 0.258 0.258 0.477
Ag 0.258 0.477 0.006
Ag 0.258 0.477 0.258
Ag 0.386 0.000 0.000
Ag 0.386 0.000 0.614
Ag 0.386 0.614 0.000
Ag 0.477 0.006 0.258
Ag 0.477 0.258 0.006
Ag 0.477 0.258 0.258
Ag 0.523 0.742 0.742
Ag 0.523 0.742 0.994
Ag 0.523 0.994 0.742
Ag 0.614 0.000 0.000
Ag 0.614 0.000 0.386
Ag 0.614 0.386 0.000
Ag 0.742 0.523 0.742
Ag 0.742 0.523 0.994
Ag 0.742 0.742 0.523
Ag 0.742 0.742 0.994
Ag 0.742 0.994 0.523
Ag 0.742 0.994 0.742
Ag 0.994 0.523 0.742
Ag 0.994 0.742 0.523
Ag 0.994 0.742 0.742
Te 0.110 0.110 0.110
Te 0.110 0.110 0.670
Te 0.110 0.670 0.110
Te 0.184 0.500 0.500
Te 0.184 0.500 0.816
Te 0.184 0.816 0.500
Te 0.250 0.250 0.250
Te 0.330 0.890 0.890
Te 0.500 0.184 0.500
Te 0.500 0.184 0.816
Te 0.500 0.500 0.184
Te 0.500 0.500 0.816
Te 0.500 0.816 0.184
Te 0.500 0.816 0.500
Te 0.670 0.110 0.110
Te 0.750 0.750 0.750
Te 0.816 0.184 0.500
Te 0.816 0.500 0.184
Te 0.816 0.500 0.500
Te 0.890 0.330 0.890
Te 0.890 0.890 0.330
Te 0.890 0.890 0.890

Output
* E_tot: -3.02 eV/atom
* ΔE_f (raw): -287 meV per atom
* space group: Fm-3m (225)
* M_tot: 0.00 μB/cell